# 1
Ca3Mg2Zn7: relaxed, GGA-PBEsol.

```
Ca3Mg2Zn7
1.0
5.553 0.000 0.000
2.776 4.809 0.000
2.776 1.603 8.697
Ca Mg Zn
3 2 7
Direct
0.000 0.000 0.000
0.141 0.141 0.578
0.859 0.859 0.422
0.334 0.334 0.998
0.666 0.666 0.002
0.500 0.500 0.500
0.589 0.081 0.741
0.081 0.589 0.741
0.589 0.589 0.741
0.411 0.919 0.259
0.411 0.411 0.259
0.919 0.411 0.259
```

Values from the calculation:
crystal system: trigonal
energy of formation: -0.223 eV per atom

---

# 2
Mg2AsCl: relaxed, GGA-PBEsol.

```
Mg2AsCl
1.0
-1.162 2.430 2.024
-2.810 -1.783 0.527
3.035 -3.150 5.524
As Cl Mg
1 1 2
Direct
0.500 0.500 0.000
0.500 0.500 0.500
0.000 0.000 0.783
0.000 0.000 0.217
```

Values from the calculation:
energy relative to the elements, uncorrected: -13.55 kcal/mol of atoms
crystal system: tetragonal
relative energy among the computed polymorphs: 0.0 meV/atom

---

# 3
Os2PtSe: relaxed, GGA-PBEsol.

```
Os2PtSe
1.0
-1.614 -0.164 -3.616
-1.550 -3.547 0.852
-1.544 3.538 2.701
Os Pt Se
2 1 1
Direct
0.000 0.000 0.000
0.750 0.250 0.500
0.500 0.500 0.000
0.250 0.750 0.500
```

Values from the calculation:
energy relative to the elements, uncorrected: 16.11 kcal/mol of atoms
crystal system: tetragonal

---

| no. | VASP energy (eV per atom) | V (A^3/atom) |
| --- | --- | --- |
| 1 | -1.97 | 19.352 |
| 2 | -3.22 | 20.003 |
| 3 | -8.11 | 14.871 |